<1>
A plane-wave DFT calculation with PBE was carried out for crystalline La3CePb2 at its relaxed geometry.

Properties
Space group: Pmm2 (25)
DOS at the Fermi energy: 10.694 states/eV/cell

abc: 3.4137 5.5098 9.5572
angles: 90.00 90.00 90.00
With the nearest neighbours (Å) after each atom.
Atoms (fractional coordinates):
1 La 0.0000 0.0000 0.0000  5 La 3.20-3.41
2 La 0.0000 0.0000 0.3344  2 Ce 3.18, 3 La 3.20-3.41, 2 Pb 3.54
3 La 0.0000 0.5000 0.8080  1 Ce 2.93
4 Ce 0.0000 0.5000 0.5015  3 La 2.93-3.18
5 Pb 0.5000 0.0000 0.6591  2 Pb 3.41, 8 La 3.54-3.68, 4 Ce 3.57
6 Pb 0.5000 0.5000 0.1647  2 Pb 3.41, 10 La 3.60-3.81, 2 Ce 3.64

***

<2>
A plane-wave DFT calculation with PBE was carried out for crystalline La3CePb2 at its relaxed geometry.

Properties
Space group: Ibam (72)
DOS at the Fermi energy: 23.004 states/eV/cell

abc: 10.2819 10.2819 10.2819
angles: 142.06 54.61 142.23
With the nearest neighbours (Å) after each atom.
Atoms (fractional coordinates):
1 La 0.1772 0.2497 0.4270  5 Pb 3.40-3.45
2 La 0.2500 0.2500 0.0000  2 La 3.33, 2 Ce 3.34, 4 Pb 3.45
3 La 0.3228 0.7497 0.0725  5 Pb 3.40-3.45
4 La 0.6772 0.2503 0.9275  5 Pb 3.40-3.45
5 La 0.7500 0.7500 0.0000  2 La 3.33, 2 Ce 3.34, 4 Pb 3.45
6 La 0.8228 0.7503 0.5730  5 Pb 3.40-3.45
7 Ce 0.2500 0.7500 0.5000  2 Ce 3.33, 2 La 3.34, 4 Pb 3.43
8 Ce 0.7500 0.2500 0.5000  2 Ce 3.33, 2 La 3.34, 4 Pb 3.43
9 Pb 0.1369 0.7463 0.8831  7 La 3.40-3.45, 2 Ce 3.43
10 Pb 0.3631 0.2463 0.6094  7 La 3.40-3.45, 2 Ce 3.43
11 Pb 0.6369 0.7537 0.3906  7 La 3.40-3.45, 2 Ce 3.43
12 Pb 0.8631 0.2537 0.1169  7 La 3.40-3.45, 2 Ce 3.43

***

In meV per atom, relative to the most stable structure: <1> 249; <2> 0.